Entry 1:
Sm3SiHg2Rh3: optimized geometry, GGA-PBE.

Structure (CIF):
```
data_Sm3SiHg2Rh3
_symmetry_space_group_name_H-M 'P -6 2 m'
_symmetry_Int_Tables_number 189
_symmetry_space_group_name_Hall 'P -6 -2'
_cell_length_a 7.7391
_cell_length_b 7.7391
_cell_length_c 3.6593
_cell_angle_alpha 90.00
_cell_angle_beta 90.00
_cell_angle_gamma 120.00
loop_
_atom_site_label
_atom_site_type_symbol
_atom_site_fract_x
_atom_site_fract_y
_atom_site_fract_z
_atom_site_occupancy
Sm1 Sm 0.0000 0.6229 0.0000 1
Si1 Si 0.0000 0.0000 0.0000 1
Hg1 Hg 0.3333 0.6667 0.5000 1
Rh1 Rh 0.0000 0.2177 0.5000 1
```


Entry 2:
Sr2SiHgRh: optimized geometry, GGA-PBE.

Structure (CIF):
```
data_Sr2SiHgRh
_symmetry_space_group_name_H-M 'P 4/m m m'
_symmetry_Int_Tables_number 123
_symmetry_space_group_name_Hall '-P 4 2'
_cell_length_a 5.8339
_cell_length_b 5.8339
_cell_length_c 4.5712
_cell_angle_alpha 90.00
_cell_angle_beta 90.00
_cell_angle_gamma 90.00
loop_
_atom_site_label
_atom_site_type_symbol
_atom_site_fract_x
_atom_site_fract_y
_atom_site_fract_z
_atom_site_occupancy
Sr1 Sr 0.0000 0.5000 0.0000 1
Si1 Si 0.0000 0.0000 0.5000 1
Hg1 Hg 0.5000 0.5000 0.5000 1
Rh1 Rh 0.0000 0.0000 0.0000 1
```


ΔE_f (raw) values (in eV per atom) by entry order: -0.653; -0.420.
VASP energy values (in eV per atom) by entry order: -5.3465; -3.7082.
Calculated volume values (in Å³/atom) by entry order: 21.1; 31.1.